[1]
! Na2TlO2 | Alexandria | GGA-PBE | relaxed; values from VASP
&SYSTEM
  ibrav = 0, nat = 10, ntyp = 3
/
ATOMIC_SPECIES
Na 22.99 Na.upf
Tl 204.38 Tl.upf
O 16.00 O.upf
CELL_PARAMETERS angstrom
6.6337 0.0000 0.0000
0.0000 6.6337 0.0000
0.0000 0.0000 3.4066
ATOMIC_POSITIONS angstrom
Na 0.8841 2.4327 0.0000
Na 2.4327 5.7496 0.0000
Na 4.2010 0.8841 0.0000
Na 5.7496 4.2010 0.0000
Tl 0.0000 0.0000 1.7033
Tl 3.3169 3.3169 1.7033
O 1.2228 4.5396 1.7033
O 2.0941 1.2228 1.7033
O 4.5396 5.4110 1.7033
O 5.4110 2.0941 1.7033
! E_form (uncorrected) ... -856 meV per atom
! Offset from the most stable computed form ... 146 meV/atom
! Crystal system ... tetragonal
! M_tot ... 0.00 μB/f.u.

[2]
! Ac3Dy2Mg2 | Alexandria | GGA-PBE | relaxed; values from VASP
&SYSTEM
  ibrav = 0, nat = 7, ntyp = 3
/
ATOMIC_SPECIES
Ac 227.00 Ac.upf
Dy 162.50 Dy.upf
Mg 24.30 Mg.upf
CELL_PARAMETERS angstrom
2.7462 -12.2627 0.0000
2.7462 12.2627 0.0000
0.0000 0.0000 3.7316
ATOMIC_POSITIONS angstrom
Ac 0.0000 0.0000 0.0000
Ac 2.7462 8.5385 0.0000
Ac 2.7462 -8.5385 0.0000
Dy 2.7462 5.2512 1.8658
Dy 2.7462 -5.2512 1.8658
Mg 2.7462 1.7484 1.8658
Mg 2.7462 -1.7484 1.8658
! Formation energy ... 72 meV/atom
! Crystal system ... orthorhombic
! M_tot ... 0.00 μB/f.u.

[3]
! BeCo2NiOs | Alexandria | GGA-PBE | relaxed; values from VASP
&SYSTEM
  ibrav = 0, nat = 5, ntyp = 4
/
ATOMIC_SPECIES
Be 9.01 Be.upf
Co 58.93 Co.upf
Ni 58.69 Ni.upf
Os 190.23 Os.upf
CELL_PARAMETERS angstrom
4.1938 0.0000 0.0000
0.0000 4.1938 0.0000
0.0000 0.0000 3.7489
ATOMIC_POSITIONS angstrom
Be 0.0000 0.0000 0.0000
Co 0.0000 2.0969 1.8744
Co 2.0969 0.0000 1.8744
Ni 0.0000 0.0000 1.8744
Os 2.0969 2.0969 0.0000
! Formation energy ... 1175 meV/atom
! Crystal system ... tetragonal
! M_tot ... 5.40 μB/f.u.

[4]
! Nd6DyS8 | Alexandria | GGA-PBE | relaxed; values from VASP
&SYSTEM
  ibrav = 0, nat = 15, ntyp = 3
/
ATOMIC_SPECIES
Nd 144.24 Nd.upf
Dy 162.50 Dy.upf
S 32.06 S.upf
CELL_PARAMETERS angstrom
0.0000 5.7320 5.7320
5.7320 0.0000 5.7320
5.7320 5.7320 0.0000
ATOMIC_POSITIONS angstrom
Nd 2.8660 2.8660 0.0000
Nd 2.8660 0.0000 2.8660
Nd 5.7320 2.8660 2.8660
Nd 0.0000 2.8660 2.8660
Nd 2.8660 5.7320 2.8660
Nd 2.8660 2.8660 5.7320
Dy 0.0000 0.0000 0.0000
S 5.7320 5.7320 2.7815
S 5.7320 2.7815 5.7320
S 8.6826 5.7320 5.7320
S 2.8660 2.8660 2.8660
S 8.5981 8.5981 8.5981
S 2.7815 5.7320 5.7320
S 5.7320 8.6826 5.7320
S 5.7320 5.7320 8.6826
! E_form (uncorrected) ... -2052 meV per atom
! Offset from the most stable computed form ... 0 meV/atom
! Crystal system ... cubic
! M_tot ... 0.00 μB/f.u.

[5]
! ZrAg2Au | Alexandria | GGA-PBE | relaxed; values from VASP
&SYSTEM
  ibrav = 0, nat = 4, ntyp = 3
/
ATOMIC_SPECIES
Zr 91.22 Zr.upf
Ag 107.87 Ag.upf
Au 196.97 Au.upf
CELL_PARAMETERS angstrom
1.5071 0.8701 9.7311
-1.5071 0.8701 9.7311
0.0000 -1.7402 9.7311
ATOMIC_POSITIONS angstrom
Zr 0.0000 0.0000 0.0000
Ag 0.0000 0.0000 7.2217
Ag 0.0000 0.0000 21.9717
Au 0.0000 0.0000 14.5967
! Formation energy ... 11 meV/atom
! Offset from the most stable computed form ... 200 meV/atom
! Crystal system ... trigonal
! M_tot ... 0.00 μB/f.u.

[6]
! AcPrBiPb | Alexandria | GGA-PBE | relaxed; values from VASP
&SYSTEM
  ibrav = 0, nat = 4, ntyp = 4
/
ATOMIC_SPECIES
Ac 227.00 Ac.upf
Pr 140.91 Pr.upf
Bi 208.98 Bi.upf
Pb 207.20 Pb.upf
CELL_PARAMETERS angstrom
0.0000 4.0941 4.0941
4.0941 0.0000 4.0941
4.0941 4.0941 0.0000
ATOMIC_POSITIONS angstrom
Ac 0.0000 0.0000 0.0000
Pr 4.0941 4.0941 4.0941
Bi 6.1411 6.1411 6.1411
Pb 2.0470 2.0470 2.0470
! Formation energy ... -553 meV/atom
! Crystal system ... cubic
! M_tot ... 0.00 μB/f.u.

[7]
! NaAsCl3 | Alexandria | GGA-PBE | relaxed; values from VASP
&SYSTEM
  ibrav = 0, nat = 5, ntyp = 3
/
ATOMIC_SPECIES
Na 22.99 Na.upf
As 74.92 As.upf
Cl 35.45 Cl.upf
CELL_PARAMETERS angstrom
5.0123 0.0000 0.0000
0.0000 5.0123 0.0000
0.0000 0.0000 5.0123
ATOMIC_POSITIONS angstrom
Na 0.0000 0.0000 0.0000
As 2.5061 2.5061 2.5061
Cl 0.0000 0.0000 2.5061
Cl 0.0000 2.5061 0.0000
Cl 2.5061 0.0000 0.0000
! E_form (uncorrected) ... -113 meV per atom
! Offset from the most stable computed form ... 660 meV/atom
! Crystal system ... cubic
! M_tot ... 1.00 μB/f.u.

[8]
! KInMo2 | Alexandria | GGA-PBE | relaxed; values from VASP
&SYSTEM
  ibrav = 0, nat = 4, ntyp = 3
/
ATOMIC_SPECIES
K 39.10 K.upf
In 114.82 In.upf
Mo 95.94 Mo.upf
CELL_PARAMETERS angstrom
4.4367 -1.3921 0.0000
4.4367 1.3921 0.0000
-0.2743 0.0000 7.9358
ATOMIC_POSITIONS angstrom
K 0.0000 0.0000 0.0000
In 6.5827 0.0000 2.6424
Mo 1.9216 0.0000 5.3407
Mo 4.1552 0.0000 4.2873
! Formation energy ... 762 meV/atom
! Crystal system ... monoclinic
! M_tot ... 0.00 μB/f.u.

[9]
! TbEr2Sn | Alexandria | GGA-PBE | relaxed; values from VASP
&SYSTEM
  ibrav = 0, nat = 4, ntyp = 3
/
ATOMIC_SPECIES
Tb 158.93 Tb.upf
Er 167.26 Er.upf
Sn 118.71 Sn.upf
CELL_PARAMETERS angstrom
1.7279 0.9976 11.7156
-1.7279 0.9976 11.7156
0.0000 -1.9952 11.7156
ATOMIC_POSITIONS angstrom
Tb 0.0000 0.0000 0.0000
Er 0.0000 0.0000 3.3438
Er 0.0000 0.0000 31.8030
Sn 0.0000 0.0000 17.5734
! Formation energy ... 20 meV/atom
! Offset from the most stable computed form ... 430 meV/atom
! Crystal system ... trigonal
! M_tot ... 0.64 μB/f.u.

[10]
! La2Ga2Rh3 | Alexandria | GGA-PBE | relaxed; values from VASP
&SYSTEM
  ibrav = 0, nat = 14, ntyp = 3
/
ATOMIC_SPECIES
La 138.91 La.upf
Ga 69.72 Ga.upf
Rh 102.91 Rh.upf
CELL_PARAMETERS angstrom
2.1222 -9.2200 0.0000
2.1222 9.2200 0.0000
0.0000 0.0000 7.3410
ATOMIC_POSITIONS angstrom
La 2.1222 8.0029 5.5058
La 2.1222 6.4720 1.8353
La 2.1222 -6.4720 5.5058
La 2.1222 -8.0029 1.8353
Ga 2.1222 3.5732 0.4141
Ga 2.1222 3.5732 3.2564
Ga 2.1222 -3.5732 4.0846
Ga 2.1222 -3.5732 6.9269
Rh 2.1222 5.0692 5.5058
Rh 2.1222 1.1862 4.1549
Rh 2.1222 1.1862 6.8566
Rh 2.1222 -1.1862 0.4844
Rh 2.1222 -1.1862 3.1861
Rh 2.1222 -5.0692 1.8353
! Formation energy ... -760 meV/atom
! Crystal system ... orthorhombic
! M_tot ... 0.00 μB/f.u.

Question: Which formula does entry 7 have?
Answer: NaAsCl3